VASP calculation (PBE) on an optimized crystal structure of Li4CaCdAu2.

Calculated values
Raw total energy: -2.554 eV per atom
Symmetry: R-3m, No. 166
Total moment: 0.0 μB per formula unit
Energy of formation from the pure elements: -0.4136 eV per atom

The structure in POSCAR format:
```
Li4CaCdAu2
1.0
2.3160 1.3371 7.6972
-2.3160 1.3371 7.6972
0.0000 -2.6743 7.6972
Li Ca Cd Au
4 1 1 2
direct
0.1150 0.1150 0.1150
0.3667 0.3667 0.3667
0.6333 0.6333 0.6333
0.8850 0.8850 0.8850
0.5000 0.5000 0.5000
0.0000 0.0000 0.0000
0.2473 0.2473 0.2473
0.7527 0.7527 0.7527
```